*i*
A plane-wave DFT calculation with PBE was carried out for a relaxed Rb2CdBi2 crystal.

```
Rb2CdBi2
1.0
-6.965 -0.586 2.310
-0.108 -7.700 -2.276
6.059 2.018 7.051
Bi Rb Cd
4 4 2
Direct
0.110 0.804 0.219 Bi
0.610 0.416 0.219 Bi
0.890 0.196 0.781 Bi
0.390 0.584 0.781 Bi
0.359 0.040 0.717 Rb
0.859 0.677 0.717 Rb
0.141 0.323 0.283 Rb
0.641 0.960 0.283 Rb
0.750 0.500 0.000 Cd
0.250 0.500 0.000 Cd
```

Magnetization   0.0743 μB per atom
Fermi-level density of states   9.82 states/eV/cell


*ii*
A plane-wave DFT calculation with PBE was carried out for a relaxed Rb2CdBi2 crystal.

```
Rb2CdBi2
1.0
-3.527 3.064 -5.880
-4.124 -6.228 -0.773
-6.890 0.110 -0.606
Rb Cd Bi
2 1 2
Direct
0.250 0.750 0.500 Rb
0.750 0.250 0.500 Rb
0.000 0.000 0.000 Cd
0.673 0.673 0.655 Bi
0.327 0.327 0.345 Bi
```

Magnetization   0.0000 μB per atom
Fermi-level density of states   6.60 states/eV/cell


It is *i* that is the most stable of them.


*i*
A plane-wave DFT calculation with PBE was carried out for a relaxed RePb3 crystal.

```
RePb3
1.0
-2.317 0.084 -4.846
-2.868 -4.353 1.296
-3.907 3.146 1.923
Pb Re
3 1
Direct
0.000 0.000 0.500 Pb
0.500 0.000 0.000 Pb
0.000 0.500 0.000 Pb
0.000 0.000 0.000 Re
```

Magnetization   0.0000 μB per atom
Fermi-level density of states   2.74 states/eV/cell


*ii*
A plane-wave DFT calculation with PBE was carried out for a relaxed RePb3 crystal.

```
RePb3
1.0
5.800 0.000 0.000
0.000 5.800 0.000
0.000 0.000 5.800
Pb Re
6 2
Direct
0.000 0.250 0.500 Pb
0.500 0.000 0.250 Pb
0.000 0.750 0.500 Pb
0.500 0.000 0.750 Pb
0.250 0.500 0.000 Pb
0.750 0.500 0.000 Pb
0.000 0.000 0.000 Re
0.500 0.500 0.500 Re
```

Magnetization   0.0001 μB per atom
Fermi-level density of states   8.59 states/eV/cell


It is *i* that is the most stable of them.